P:
DFT (PBE) results for a relaxed HfCd2Ag2 crystal.

Properties
space-group type = Immm, No. 71

```
HfCd2Ag2
1.0
-1.0347 -5.0965 -0.7416
4.9744 -1.4961 -0.7826
2.9730 -4.9316 2.6478
Hf Cd Ag
1 2 2
Direct
0.0000 0.0000 0.0000 Hf
0.1973 0.8028 0.5000 Cd
0.8027 0.1972 0.5000 Cd
0.4998 0.4998 0.7858 Ag
0.5002 0.5002 0.2142 Ag
```

Q:
DFT (PBE) results for a relaxed HfCd2Ag2 crystal.

Properties
space-group type = P4/mbm, No. 127

```
HfCd2Ag2
1.0
-4.4777 5.2144 4.3898
-5.6620 0.0789 -5.8691
-1.4013 -2.3153 1.3208
Hf Ag Cd
2 4 4
Direct
0.0000 0.0000 0.0000 Hf
0.5000 0.5000 0.0000 Hf
0.3742 0.8742 0.0000 Ag
0.8742 0.6258 0.0000 Ag
0.6258 0.1258 0.0000 Ag
0.1258 0.3742 0.0000 Ag
0.1726 0.6726 0.5000 Cd
0.6726 0.8274 0.5000 Cd
0.8274 0.3274 0.5000 Cd
0.3274 0.1726 0.5000 Cd
```

R:
DFT (PBE) results for a relaxed HfCd2Ag2 crystal.

Properties
space-group type = I4/mmm, No. 139

```
HfCd2Ag2
1.0
3.9489 0.0000 0.0000
0.0000 3.9489 0.0000
-1.9745 -1.9745 6.7599
Hf Cd Ag
1 2 2
Direct
0.0000 0.0000 0.0000 Hf
0.7500 0.2500 0.5000 Cd
0.2500 0.7500 0.5000 Cd
0.4030 0.4030 0.8061 Ag
0.5970 0.5970 0.1939 Ag
```

S:
DFT (PBE) results for a relaxed HfCd2Ag2 crystal.

Properties
space-group type = P4/mbm, No. 127

```
HfCd2Ag2
1.0
8.2002 0.0000 0.0000
0.0000 8.2002 0.0000
0.0000 0.0000 2.9875
Hf Ag Cd
2 4 4
Direct
0.0000 0.0000 0.0000 Hf
0.5000 0.5000 0.0000 Hf
0.1722 0.6722 0.5000 Ag
0.6722 0.8278 0.5000 Ag
0.8278 0.3278 0.5000 Ag
0.3278 0.1722 0.5000 Ag
0.3726 0.8726 0.0000 Cd
0.8726 0.6274 0.0000 Cd
0.6274 0.1274 0.0000 Cd
0.1274 0.3726 0.0000 Cd
```

Least stable of them? R.

P:
DFT (PBE) results for a relaxed Hf2Cd2Ag crystal.

Properties
space-group type = P4/mbm, No. 127

```
Hf2Cd2Ag
1.0
8.7757 0.0000 0.0000
0.0000 8.7757 0.0000
0.0000 0.0000 2.9431
Hf Ag Cd
4 2 4
Direct
0.3776 0.8776 0.0000 Hf
0.8776 0.6224 0.0000 Hf
0.6224 0.1224 0.0000 Hf
0.1224 0.3776 0.0000 Hf
0.0000 0.0000 0.0000 Ag
0.5000 0.5000 0.0000 Ag
0.1740 0.6740 0.5000 Cd
0.6740 0.8260 0.5000 Cd
0.8260 0.3260 0.5000 Cd
0.3260 0.1740 0.5000 Cd
```

Q:
DFT (PBE) results for a relaxed Hf2Cd2Ag crystal.

Properties
space-group type = I4/mmm, No. 139

```
Hf2Cd2Ag
1.0
3.0905 0.0000 -0.4959
-0.0796 3.0895 -0.4959
0.1569 0.1610 10.8564
Hf Cd Ag
2 2 1
Direct
0.8003 0.8003 0.6006 Hf
0.1997 0.1997 0.3994 Hf
0.5924 0.5924 0.1848 Cd
0.4076 0.4076 0.8152 Cd
0.0000 0.0000 0.0000 Ag
```

Least stable of them? P.

P:
DFT (PBE) results for a relaxed HfCdAg3 crystal.

Properties
space-group type = Pm-3m, No. 221

```
HfCdAg3
1.0
4.9885 0.0000 0.0000
0.0000 4.9885 0.0000
0.0000 0.0000 4.9885
Hf Ag Cd
1 3 1
Direct
0.5000 0.5000 0.5000 Hf
0.0000 0.5000 0.0000 Ag
0.0000 0.0000 0.5000 Ag
0.5000 0.0000 0.0000 Ag
0.0000 0.0000 0.0000 Cd
```

Q:
DFT (PBE) results for a relaxed HfCdAg3 crystal.

Properties
space-group type = Pm-3m, No. 221

```
HfCdAg3
1.0
-2.9566 3.9378 1.9531
-0.5959 -2.6911 4.5238
4.3550 2.3051 1.9450
Hf Ag Cd
1 3 1
Direct
0.0000 0.0000 0.0000 Hf
0.0000 0.5000 0.0000 Ag
0.0000 0.0000 0.5000 Ag
0.5000 0.0000 0.0000 Ag
0.5000 0.5000 0.5000 Cd
```

Least stable of them? Q.

P:
DFT (PBE) results for a relaxed Hf2CdAg2 crystal.

Properties
space-group type = P4/mbm, No. 127

```
Hf2CdAg2
1.0
7.5373 0.0000 0.0000
0.0000 7.5373 0.0000
0.0000 0.0000 3.5938
Hf Ag Cd
4 4 2
Direct
0.1676 0.6676 0.5000 Hf
0.6676 0.8324 0.5000 Hf
0.8324 0.3324 0.5000 Hf
0.3324 0.1676 0.5000 Hf
0.3699 0.8699 0.0000 Ag
0.8699 0.6301 0.0000 Ag
0.6301 0.1301 0.0000 Ag
0.1301 0.3699 0.0000 Ag
0.0000 0.0000 0.0000 Cd
0.5000 0.5000 0.0000 Cd
```

Q:
DFT (PBE) results for a relaxed Hf2CdAg2 crystal.

Properties
space-group type = I4/mmm, No. 139

```
Hf2CdAg2
1.0
4.0922 0.0000 -0.6311
-0.0973 4.0911 -0.6311
-1.0095 -1.0338 7.0375
Hf Cd Ag
2 1 2
Direct
0.7500 0.2500 0.5000 Hf
0.2500 0.7500 0.5000 Hf
0.0000 0.0000 0.0000 Cd
0.4007 0.4007 0.8014 Ag
0.5993 0.5993 0.1986 Ag
```

R:
DFT (PBE) results for a relaxed Hf2CdAg2 crystal.

Properties
space-group type = P4/mbm, No. 127

```
Hf2CdAg2
1.0
-5.2179 6.4246 -1.1031
-0.6101 -1.8880 -8.1106
-2.3640 -1.8168 0.6008
Hf Ag Cd
4 4 2
Direct
0.3327 0.8327 0.0000 Hf
0.8327 0.6673 0.0000 Hf
0.6673 0.1673 0.0000 Hf
0.1673 0.3327 0.0000 Hf
0.1273 0.6273 0.5000 Ag
0.6273 0.8727 0.5000 Ag
0.8727 0.3727 0.5000 Ag
0.3727 0.1273 0.5000 Ag
0.0000 0.0000 0.0000 Cd
0.5000 0.5000 0.0000 Cd
```

Least stable of them? Q.

P:
DFT (PBE) results for a relaxed HfZrCdAg crystal.

Properties
space-group type = F-43m, No. 216

```
HfZrCdAg
1.0
-4.5026 1.4736 1.2765
-3.7487 -0.5915 -3.1099
-3.4859 -3.3161 0.9621
Hf Zr Ag Cd
1 1 1 1
Direct
0.2500 0.2500 0.2500 Hf
0.7500 0.7500 0.7500 Zr
0.5000 0.5000 0.5000 Ag
0.0000 0.0000 0.0000 Cd
```

Q:
DFT (PBE) results for a relaxed HfZrCdAg crystal.

Properties
space-group type = Cm, No. 8

```
HfZrCdAg
1.0
-2.5058 -0.4562 -1.9001
-0.9372 -2.9551 -0.6883
-5.9631 0.0613 7.8449
Hf Zr Cd Ag
1 1 1 1
Direct
0.8690 0.8687 0.3170 Hf
0.2047 0.2034 0.0685 Zr
0.8673 0.8676 0.8034 Cd
0.5314 0.5326 0.5600 Ag
```

Least stable of them? P.

P:
DFT (PBE) results for a relaxed Cd5Ag2Hg2 crystal.

Properties
space-group type = P-1, No. 2

```
Cd5Ag2Hg2
1.0
-3.6934 -2.0877 0.3208
6.6935 -9.6656 -1.4143
-2.8746 8.0269 4.7944
Cd Ag Hg
5 2 2
Direct
0.5134 0.8761 0.0801 Cd
0.4866 0.1239 0.9199 Cd
0.3007 0.3300 0.6490 Cd
0.6993 0.6700 0.3510 Cd
0.0000 0.0000 0.0000 Cd
0.2453 0.5583 0.4570 Ag
0.7547 0.4417 0.5430 Ag
0.9116 0.2268 0.7923 Hg
0.0884 0.7732 0.2077 Hg
```

Q:
DFT (PBE) results for a relaxed Cd5Ag2Hg2 crystal.

Properties
space-group type = Cmce, No. 64

```
Cd5Ag2Hg2
1.0
-3.3672 3.2356 6.1363
5.5521 -2.4879 4.3585
0.8856 7.3215 -3.3746
Cd Ag Hg
10 4 4
Direct
0.0000 0.0000 0.0000 Cd
0.5000 0.5000 0.0000 Cd
0.8333 0.7924 0.2612 Cd
0.1667 0.4688 0.2612 Cd
0.3333 0.9688 0.2612 Cd
0.6667 0.2924 0.2612 Cd
0.1667 0.2076 0.7388 Cd
0.8333 0.5312 0.7388 Cd
0.6667 0.0312 0.7388 Cd
0.3333 0.7076 0.7388 Cd
0.6339 0.8662 0.0000 Ag
0.3661 0.1338 0.0000 Ag
0.1339 0.6338 0.0000 Ag
0.8661 0.3662 0.0000 Ag
0.0000 0.2079 0.4158 Hg
0.5000 0.7079 0.4158 Hg
0.0000 0.7921 0.5842 Hg
0.5000 0.2921 0.5842 Hg
```

Least stable of them? Q.